Entry i
Compound: SbC
Source: the Alexandria database
Functional: SCAN
Structure: single point on PBEsol structure

Lattice parameters (Å, degrees): 3.4278 3.4278 7.1510 76.13 76.13 60.00
Positions (direct):
C (0.1105, 0.1105, 0.6684)
Sb (0.4037, 0.4037, 0.7890)
C (0.8895, 0.8895, 0.3316)
Sb (0.5963, 0.5963, 0.2110)

Calculated values
Crystal system: trigonal
Symmetry: No. 166


Entry ii
Compound: SbC
Source: the Alexandria database
Functional: SCAN
Structure: single point on PBEsol structure

Lattice parameters (Å, degrees): 3.2811 5.6791 5.9617 118.44 105.97 90.00
Positions (direct):
C (0.8099, 0.7509, 0.6199)
Sb (0.5000, 0.8730, 0.0000)
C (0.5000, 0.2669, 0.0000)
Sb (0.8316, 0.1540, 0.6633)
Sb (0.1684, 0.4907, 0.3367)
C (0.1900, 0.1310, 0.3801)

Calculated values
Crystal system: orthorhombic
Symmetry: No. 44


Entry iii
Compound: SbC
Source: the Alexandria database
Functional: SCAN
Structure: single point on PBEsol structure

Lattice parameters (Å, degrees): 3.3026 3.3156 5.8341 73.49 90.00 90.00
Positions (direct):
Sb (0.2500, 0.3632, 0.2737)
C (0.2500, 0.1639, 0.6723)
Sb (0.7500, 0.6368, 0.7263)
C (0.7500, 0.8361, 0.3277)

Calculated values
Crystal system: orthorhombic
Symmetry: No. 63


Energy above the most stable structure, in kJ/mol of atoms: entry i 3.2; entry ii 0.0; entry iii 4.1